Crystalline Ba2CuNi3F12 at its relaxed geometry, computed with GGA+U. Values from VASP.

M_tot in μB per formula unit: 7.00
Total energy in eV per formula unit: -83.44

Quantum ESPRESSO input file:
```
&SYSTEM
  ibrav = 0, nat = 18, ntyp = 4
/
ATOMIC_SPECIES
Ba 137.33 Ba.upf
Cu 63.55 Cu.upf
Ni 58.69 Ni.upf
F 19.00 F.upf
ATOMIC_POSITIONS crystal
Ba 0.1239 0.1239 0.1239
Ba 0.8761 0.8761 0.8761
Cu 0.5000 0.5000 0.5000
Ni 0.0000 0.5000 0.5000
Ni 0.5000 0.0000 0.5000
Ni 0.5000 0.5000 0.0000
F 0.1543 0.5949 0.5949
F 0.1622 0.1622 0.5917
F 0.1622 0.5917 0.1622
F 0.4051 0.4051 0.8457
F 0.4051 0.8457 0.4051
F 0.4083 0.8378 0.8378
F 0.5917 0.1622 0.1622
F 0.5949 0.1543 0.5949
F 0.5949 0.5949 0.1543
F 0.8378 0.4083 0.8378
F 0.8378 0.8378 0.4083
F 0.8457 0.4051 0.4051
CELL_PARAMETERS angstrom
3.5884 2.0718 5.8081
-3.5884 2.0718 5.8081
0.0000 -4.1435 5.8081
```